(1)
# MnSeCl2 PBE optimized geometry
data_MnSeCl2
_chemical_formula_sum 'Mn1 Se1 Cl2'
_cell_length_a 5.8272
_cell_length_b 3.3485
_cell_length_c 6.2898
_cell_angle_alpha 90.00
_cell_angle_beta 113.35
_cell_angle_gamma 90.00
_symmetry_space_group_name_H-M 'P 1 m 1'
_symmetry_Int_Tables_number 6
_symmetry_space_group_name_Hall 'P -2y'
loop_
_atom_site_label
_atom_site_type_symbol
_atom_site_fract_x
_atom_site_fract_y
_atom_site_fract_z
Mn1 Mn 0.0000 0.0000 0.0000
Se1 Se 0.2270 0.5000 0.2693
Cl1 Cl 0.6440 0.0000 0.0370
Cl2 Cl 0.9202 0.5000 0.7121
# Total moment = 3.00 μB/f.u.
# Density of states at the Fermi level = 0.3 states/eV per cell
# Energy above the most stable polymorph in this dataset = 0.0 meV per atom



(2)
# MnSnSe2Cl PBE optimized geometry
data_MnSnSe2Cl
_chemical_formula_sum 'Mn1 Sn1 Se2 Cl1'
_cell_length_a 5.0793
_cell_length_b 5.0793
_cell_length_c 5.1116
_cell_angle_alpha 90.00
_cell_angle_beta 90.00
_cell_angle_gamma 90.00
_symmetry_space_group_name_H-M 'P 4/m m m'
_symmetry_Int_Tables_number 123
_symmetry_space_group_name_Hall '-P 4 2'
loop_
_atom_site_label
_atom_site_type_symbol
_atom_site_fract_x
_atom_site_fract_y
_atom_site_fract_z
Mn1 Mn 0.0000 0.0000 0.0000
Sn1 Sn 0.5000 0.5000 0.0000
Se1 Se 0.0000 0.5000 0.5000
Cl1 Cl 0.5000 0.5000 0.5000
# Total moment = 0.09 μB/f.u.
# Density of states at the Fermi level = 11.5 states/eV per cell



(3)
# MnTe2SeCl PBE optimized geometry
data_MnTe2SeCl
_chemical_formula_sum 'Mn1 Te2 Se1 Cl1'
_cell_length_a 5.4840
_cell_length_b 5.4840
_cell_length_c 4.9710
_cell_angle_alpha 90.00
_cell_angle_beta 90.00
_cell_angle_gamma 90.00
_symmetry_space_group_name_H-M 'P 4/m m m'
_symmetry_Int_Tables_number 123
_symmetry_space_group_name_Hall '-P 4 2'
loop_
_atom_site_label
_atom_site_type_symbol
_atom_site_fract_x
_atom_site_fract_y
_atom_site_fract_z
Mn1 Mn 0.0000 0.0000 0.0000
Te1 Te 0.0000 0.5000 0.5000
Se1 Se 0.5000 0.5000 0.5000
Cl1 Cl 0.5000 0.5000 0.0000
# Total moment = 4.96 μB/f.u.
# Density of states at the Fermi level = 1.9 states/eV per cell



(4)
# MnTlSeCl6 PBE optimized geometry
data_MnTlSeCl6
_chemical_formula_sum 'Mn1 Tl1 Se1 Cl6'
_cell_length_a 6.6181
_cell_length_b 6.8625
_cell_length_c 6.9366
_cell_angle_alpha 98.33
_cell_angle_beta 94.19
_cell_angle_gamma 106.92
_symmetry_space_group_name_H-M 'P 1'
_symmetry_Int_Tables_number 1
_symmetry_space_group_name_Hall 'P 1'
loop_
_atom_site_label
_atom_site_type_symbol
_atom_site_fract_x
_atom_site_fract_y
_atom_site_fract_z
Mn1 Mn 0.0000 0.0000 0.0000
Tl1 Tl 0.4301 0.6720 0.3929
Se1 Se 0.0019 0.4337 0.7123
Cl1 Cl 0.1727 0.9912 0.2842
Cl2 Cl 0.1963 0.7906 0.7849
Cl3 Cl 0.2279 0.3254 0.0046
Cl4 Cl 0.7143 0.7460 0.0357
Cl5 Cl 0.7971 0.4340 0.4376
Cl6 Cl 0.8117 0.0456 0.7218
# Total moment = 3.94 μB/f.u.



(5)
# Mn2WSeCl PBE optimized geometry
data_Mn2WSeCl
_chemical_formula_sum 'Mn2 W1 Se1 Cl1'
_cell_length_a 4.2515
_cell_length_b 4.2515
_cell_length_c 4.9208
_cell_angle_alpha 90.00
_cell_angle_beta 90.00
_cell_angle_gamma 90.00
_symmetry_space_group_name_H-M 'P 4/m m m'
_symmetry_Int_Tables_number 123
_symmetry_space_group_name_Hall '-P 4 2'
loop_
_atom_site_label
_atom_site_type_symbol
_atom_site_fract_x
_atom_site_fract_y
_atom_site_fract_z
Mn1 Mn 0.0000 0.5000 0.0000
W1 W 0.0000 0.0000 0.5000
Se1 Se 0.5000 0.5000 0.0000
Cl1 Cl 0.5000 0.5000 0.5000
# Total moment = 0.00 μB/f.u.
# Density of states at the Fermi level = 10.0 states/eV per cell



(6)
# ZrMnSeCl2 PBE optimized geometry
data_ZrMnSeCl2
_chemical_formula_sum 'Zr1 Mn1 Se1 Cl2'
_cell_length_a 5.0395
_cell_length_b 5.0395
_cell_length_c 5.3074
_cell_angle_alpha 90.00
_cell_angle_beta 90.00
_cell_angle_gamma 90.00
_symmetry_space_group_name_H-M 'P 4/m m m'
_symmetry_Int_Tables_number 123
_symmetry_space_group_name_Hall '-P 4 2'
loop_
_atom_site_label
_atom_site_type_symbol
_atom_site_fract_x
_atom_site_fract_y
_atom_site_fract_z
Zr1 Zr 0.0000 0.0000 0.0000
Mn1 Mn 0.5000 0.5000 0.5000
Se1 Se 0.0000 0.0000 0.5000
Cl1 Cl 0.0000 0.5000 0.0000
# Total moment = 5.52 μB/f.u.
# Density of states at the Fermi level = 3.7 states/eV per cell



(7)
# MnSiCl PBE optimized geometry
data_MnSiCl
_chemical_formula_sum 'Mn4 Si4 Cl4'
_cell_length_a 3.9155
_cell_length_b 4.4898
_cell_length_c 13.8643
_cell_angle_alpha 90.00
_cell_angle_beta 90.00
_cell_angle_gamma 90.00
_symmetry_space_group_name_H-M 'F m m 2'
_symmetry_Int_Tables_number 42
_symmetry_space_group_name_Hall 'F 2 -2'
loop_
_atom_site_label
_atom_site_type_symbol
_atom_site_fract_x
_atom_site_fract_y
_atom_site_fract_z
Mn1 Mn 0.0000 0.0000 0.0000
Si1 Si 0.0000 0.0000 0.6185
Cl1 Cl 0.0000 0.0000 0.3876
# Total moment = 3.85 μB/f.u.
# Density of states at the Fermi level = 3.5 states/eV per cell
# Energy above the most stable polymorph in this dataset = 200.9 meV per atom



(8)
# MnSiCl2 PBE optimized geometry
data_MnSiCl2
_chemical_formula_sum 'Mn1 Si1 Cl2'
_cell_length_a 3.1569
_cell_length_b 4.2666
_cell_length_c 5.6885
_cell_angle_alpha 90.00
_cell_angle_beta 90.00
_cell_angle_gamma 90.00
_symmetry_space_group_name_H-M 'P m m m'
_symmetry_Int_Tables_number 47
_symmetry_space_group_name_Hall '-P 2 2'
loop_
_atom_site_label
_atom_site_type_symbol
_atom_site_fract_x
_atom_site_fract_y
_atom_site_fract_z
Mn1 Mn 0.0000 0.0000 0.0000
Si1 Si 0.5000 0.0000 0.5000
Cl1 Cl 0.0000 0.5000 0.5000
Cl2 Cl 0.5000 0.5000 0.0000
# Total moment = 4.36 μB/f.u.
# Density of states at the Fermi level = 1.4 states/eV per cell
# Energy above the most stable polymorph in this dataset = 488.4 meV per atom



(9)
# MnSiCl2 PBE optimized geometry
data_MnSiCl2
_chemical_formula_sum 'Mn4 Si4 Cl8'
_cell_length_a 6.0608
_cell_length_b 6.0608
_cell_length_c 9.4427
_cell_angle_alpha 90.00
_cell_angle_beta 90.00
_cell_angle_gamma 90.00
_symmetry_space_group_name_H-M 'I -4 2 d'
_symmetry_Int_Tables_number 122
_symmetry_space_group_name_Hall 'I -4 2bw'
loop_
_atom_site_label
_atom_site_type_symbol
_atom_site_fract_x
_atom_site_fract_y
_atom_site_fract_z
Mn1 Mn 0.0000 0.0000 0.0000
Si1 Si 0.0000 0.0000 0.5000
Cl1 Cl 0.1673 0.2500 0.1250
# Total moment = 0.00 μB/f.u.
# Density of states at the Fermi level = 22.9 states/eV per cell
# Energy above the most stable polymorph in this dataset = 1062.2 meV per atom



(10)
# MnSiCl2 PBE optimized geometry
data_MnSiCl2
_chemical_formula_sum 'Mn4 Si4 Cl8'
_cell_length_a 6.6562
_cell_length_b 6.6562
_cell_length_c 6.6562
_cell_angle_alpha 90.00
_cell_angle_beta 90.00
_cell_angle_gamma 90.00
_symmetry_space_group_name_H-M 'F -4 3 m'
_symmetry_Int_Tables_number 216
_symmetry_space_group_name_Hall 'F -4 2 3'
loop_
_atom_site_label
_atom_site_type_symbol
_atom_site_fract_x
_atom_site_fract_y
_atom_site_fract_z
Mn1 Mn 0.0000 0.0000 0.0000
Si1 Si 0.2500 0.2500 0.7500
Cl1 Cl 0.0000 0.0000 0.5000
Cl2 Cl 0.2500 0.2500 0.2500
# Total moment = 3.02 μB/f.u.
# Density of states at the Fermi level = 13.4 states/eV per cell
# Energy above the most stable polymorph in this dataset = 870.6 meV per atom



(11)
# MnSiCl2 PBE optimized geometry
data_MnSiCl2
_chemical_formula_sum 'Mn2 Si2 Cl4'
_cell_length_a 4.4206
_cell_length_b 4.4206
_cell_length_c 7.8309
_cell_angle_alpha 90.00
_cell_angle_beta 90.00
_cell_angle_gamma 90.00
_symmetry_space_group_name_H-M 'I 4/m m m'
_symmetry_Int_Tables_number 139
_symmetry_space_group_name_Hall '-I 4 2'
loop_
_atom_site_label
_atom_site_type_symbol
_atom_site_fract_x
_atom_site_fract_y
_atom_site_fract_z
Mn1 Mn 0.0000 0.0000 0.0000
Si1 Si 0.0000 0.0000 0.5000
Cl1 Cl 0.0000 0.5000 0.2500
# Total moment = 4.08 μB/f.u.
# Density of states at the Fermi level = 4.9 states/eV per cell
# Energy above the most stable polymorph in this dataset = 721.4 meV per atom



(12)
# MnSiCl PBE optimized geometry
data_MnSiCl
_chemical_formula_sum 'Mn1 Si1 Cl1'
_cell_length_a 3.1725
_cell_length_b 3.1725
_cell_length_c 7.3351
_cell_angle_alpha 90.00
_cell_angle_beta 90.00
_cell_angle_gamma 120.00
_symmetry_space_group_name_H-M 'P 3 m 1'
_symmetry_Int_Tables_number 156
_symmetry_space_group_name_Hall 'P 3 -2"'
loop_
_atom_site_label
_atom_site_type_symbol
_atom_site_fract_x
_atom_site_fract_y
_atom_site_fract_z
Mn1 Mn 0.0000 0.0000 0.0000
Si1 Si 0.6667 0.3333 0.2394
Cl1 Cl 0.3333 0.6667 0.7809
# Total moment = 3.99 μB/f.u.
# Density of states at the Fermi level = 1.2 states/eV per cell
# Energy above the most stable polymorph in this dataset = 101.5 meV per atom



(13)
# MnSiCl2 PBE optimized geometry
data_MnSiCl2
_chemical_formula_sum 'Mn4 Si4 Cl8'
_cell_length_a 6.6410
_cell_length_b 6.6410
_cell_length_c 6.6410
_cell_angle_alpha 90.00
_cell_angle_beta 90.00
_cell_angle_gamma 90.00
_symmetry_space_group_name_H-M 'F m -3 m'
_symmetry_Int_Tables_number 225
_symmetry_space_group_name_Hall '-F 4 2 3'
loop_
_atom_site_label
_atom_site_type_symbol
_atom_site_fract_x
_atom_site_fract_y
_atom_site_fract_z
Mn1 Mn 0.0000 0.0000 0.0000
Si1 Si 0.0000 0.0000 0.5000
Cl1 Cl 0.2500 0.2500 0.2500
# Total moment = 3.71 μB/f.u.
# Density of states at the Fermi level = 9.1 states/eV per cell
# Energy above the most stable polymorph in this dataset = 723.0 meV per atom



(14)
# MnSiCl2 PBE optimized geometry
data_MnSiCl2
_chemical_formula_sum 'Mn2 Si2 Cl4'
_cell_length_a 6.0685
_cell_length_b 7.5069
_cell_length_c 3.7005
_cell_angle_alpha 90.00
_cell_angle_beta 90.00
_cell_angle_gamma 90.00
_symmetry_space_group_name_H-M 'C m m m'
_symmetry_Int_Tables_number 65
_symmetry_space_group_name_Hall '-C 2 2'
loop_
_atom_site_label
_atom_site_type_symbol
_atom_site_fract_x
_atom_site_fract_y
_atom_site_fract_z
Mn1 Mn 0.0000 0.0000 0.0000
Si1 Si 0.0000 0.5000 0.0000
Cl1 Cl 0.0000 0.2369 0.5000
# Total moment = 4.99 μB/f.u.
# Density of states at the Fermi level = 1.7 states/eV per cell
# Energy above the most stable polymorph in this dataset = 437.9 meV per atom



(15)
# MnSiCl PBE optimized geometry
data_MnSiCl
_chemical_formula_sum 'Mn2 Si2 Cl2'
_cell_length_a 3.1931
_cell_length_b 3.1931
_cell_length_c 10.9139
_cell_angle_alpha 90.00
_cell_angle_beta 90.00
_cell_angle_gamma 90.00
_symmetry_space_group_name_H-M 'I 4 m m'
_symmetry_Int_Tables_number 107
_symmetry_space_group_name_Hall 'I 4 -2'
loop_
_atom_site_label
_atom_site_type_symbol
_atom_site_fract_x
_atom_site_fract_y
_atom_site_fract_z
Mn1 Mn 0.0000 0.0000 0.0000
Si1 Si 0.0000 0.0000 0.5808
Cl1 Cl 0.0000 0.0000 0.7861
# Total moment = 3.02 μB/f.u.
# Density of states at the Fermi level = 2.8 states/eV per cell
# Energy above the most stable polymorph in this dataset = 0.0 meV per atom



One value per record, in order, for formation energy without anion corrections: -2.39; 7.04; 2.32; -6.43; 9.33; -2.67; 0.22; 0.35; 2.65; 1.88; 1.28; -0.07; 1.29; 0.15; -0.38 eV/f.u..